## CsTlSn2Br6 (PBE-GGA)

Data for an optimized crystal structure of CsTlSn2Br6.

calculated density: 4.12 g/cm³
E: -3.118 eV/atom
DOS at the Fermi energy: 0.00 states/eV/f.u.

Cell: 11.797 10.253 10.253 Å, 59.82 58.10 58.10°
Atoms (fractional coordinates):
Cs (0.250, 0.841, 0.159)
Cs (0.750, 0.159, 0.841)
Tl (0.250, 0.326, 0.674)
Tl (0.750, 0.674, 0.326)
Sn (0.293, 0.715, 0.724)
Sn (0.207, 0.276, 0.285)
Sn (0.707, 0.285, 0.276)
Sn (0.793, 0.724, 0.715)
Br (0.179, 0.002, 0.774)
Br (0.321, 0.226, 0.998)
Br (0.821, 0.998, 0.226)
Br (0.679, 0.774, 0.002)
Br (0.398, 0.856, 0.394)
Br (0.102, 0.606, 0.144)
Br (0.602, 0.144, 0.606)
Br (0.898, 0.394, 0.856)
Br (0.057, 0.739, 0.614)
Br (0.443, 0.386, 0.261)
Br (0.943, 0.261, 0.386)
Br (0.557, 0.614, 0.739)